Mg2VPt after structural relaxation, computed with PBE-GGA.

Cell: 6.0154 6.0154 6.0154 Å, 101.76 101.76 126.34°
Closest atoms and distances in Å follow each position.
Atoms (fractional coordinates):
Mg 0.0851 0.6250 0.9601  2 Pt 2.57, 2 Mg 2.78
Mg 0.3750 0.3351 0.4601  2 Pt 2.57, 2 Mg 2.78
Mg 0.6649 0.1250 0.0399  2 Pt 2.57, 2 Mg 2.78
Mg 0.8750 0.9149 0.5399  2 Pt 2.57, 2 Mg 2.78
V 0.2500 0.7500 0.5000  2 Pt 2.72, 4 Mg 2.98
V 0.5000 0.5000 0.0000  2 Pt 2.72, 4 Mg 2.98
Pt 0.0000 0.0000 0.0000  4 Mg 2.57, 2 V 2.72
Pt 0.7500 0.2500 0.5000  4 Mg 2.57, 2 V 2.72

Summary:
Energy of formation from the pure elements: 193 meV per atom